Record 1
WCO2 PBE+U optimized geometry; magnetization = 0.00 μB per cell; electronic total energy = -6.126 eV/atom; space group = I-42d (122)
1.0
-1.668 1.668 6.844
1.668 -1.668 6.844
1.668 1.668 -6.844
W C O
2 2 4
Cartesian
0.000 0.000 0.000
0.000 1.668 3.422
1.668 0.000 3.422
0.000 0.000 6.844
2.501 0.741 -1.711
0.741 0.834 1.711
-0.834 0.927 5.133
0.927 0.834 8.555

=====

Record 2
WCO2 PBE+U optimized geometry; magnetization = 0.00 μB per cell; electronic total energy = -5.623 eV/atom; space group = R-3m (166)
1.0
1.418 0.819 6.044
-1.418 0.819 6.044
0.000 -1.637 6.044
W C O
1 1 2
Cartesian
0.000 0.000 0.000
0.000 0.000 9.065
0.000 0.000 1.966
0.000 0.000 16.165